## Re2TePb (GGA-PBE)

Data for an optimized crystal structure of Re2TePb.

Lattice parameters (Å, degrees): 5.098 5.098 5.098 129.20 129.20 74.68
Element x y z (fractional)
Te  0.500  0.500  0.000
Pb  0.750  0.250  0.500
Re  0.250  0.750  0.500
Re  0.000  0.000  0.000

Values from the calculation:
Calculated volume   19.38 Å³ per atom
Magnetization   0.00 μB per cell
Formation energy without anion corrections   4.9 eV/f.u.
Excess energy over the best structure of this formula in the dataset   75.3 kJ/mol of atoms
Symmetry   I-4m2